No. 1
The following is a SCAN calculation of a crystal of LaMnIn3 relaxed with PBEsol, from the Alexandria database.

a b c (Å): 4.968 4.968 4.968
angles (deg): 90.00 90.00 90.00
Each line ends with the local moment (μB).
Atoms (fractional coordinates):
1 Mn 0.000 0.000 0.000  2.62
2 La 0.500 0.500 0.500  -0.01
3 In 0.500 0.000 0.000  -0.10
4 In 0.000 0.000 0.500  -0.10
5 In 0.000 0.500 0.000  -0.10

Output
* ΔH_f (0 K): -302 meV/atom
* volume: 122.6 Å³/cell

No. 2
The following is a SCAN calculation of a crystal of NaPt relaxed with PBEsol, from the Alexandria database.

a b c (Å): 3.440 3.440 8.025
angles (deg): 90.00 90.00 90.00
Atoms (fractional coordinates):
1 Pt 0.500 0.000 0.450
2 Pt 0.000 0.500 0.550
3 Na 0.500 0.000 0.800
4 Na 0.000 0.500 0.200

Output
* ΔH_f (0 K): -61 meV/atom
* volume: 95.0 Å³/cell

No. 3
The following is a SCAN calculation of a crystal of MgZn2Hg relaxed with PBEsol, from the Alexandria database.

a b c (Å): 4.112 4.112 5.045
angles (deg): 114.05 114.05 90.00
Atoms (fractional coordinates):
1 Mg 0.250 0.750 0.500
2 Zn 0.750 0.250 0.500
3 Zn 0.000 0.000 0.000
4 Hg 0.500 0.500 0.000

Output
* energy above the most stable polymorph in this dataset: 38 meV per atom
* ΔH_f (0 K): -66 meV/atom
* volume: 69.7 Å³/cell

No. 4
The following is a SCAN calculation of a crystal of BaRhPb2 relaxed with PBEsol, from the Alexandria database.

a b c (Å): 4.578 4.578 6.764
angles (deg): 70.22 70.22 60.00
Atoms (fractional coordinates):
1 Ba 0.000 0.000 0.000
2 Pb 0.784 0.784 0.648
3 Pb 0.216 0.216 0.352
4 Rh 0.500 0.500 0.500

Output
* ΔH_f (0 K): -430 meV/atom
* volume: 113.0 Å³/cell

Which formula does entry 2 have? NaPt

Among the records above, which one has the lowest volume? MgZn2Hg

Look up the ΔH_f (0 K) of the fourth one. -430 meV/atom

What is the volume in the fourth record? 113.0 Å³/cell